A relaxed structure of NpPaAsO2. Source: the Alexandria database, functional GGA-PBE.

a = 3.8208 Å, b = 3.8208 Å, c = 11.9348 Å
α = 90.00°, β = 90.00°, γ = 90.00°
Space group I4mm (No. 107)
Asymmetric unit:
Np 0.0000 0.0000 0.0000 (multiplicity 2)
Pa 0.0000 0.0000 0.7219 (multiplicity 2)
As 0.0000 0.0000 0.3635 (multiplicity 2)
O 0.0000 0.5000 0.1190 (multiplicity 4)

Output
- E_form (uncorrected): -2352 meV per atom
- Calculated volume: 17.42 Å³ per atom